Below is a geometry-optimized BaPmP2Pd2 structure, with properties calculated at the GGA-PBE level.

POSCAR file:
```
BaPmP2Pd2
1.0
4.2313 0.0000 0.0000
-2.1157 3.6645 0.0000
0.0000 0.0000 8.6485
P Pm Pd Ba
2 1 2 1
direct
0.3333 0.6667 0.2806
0.6667 0.3333 0.7194
0.0000 0.0000 0.5000
0.3333 0.6667 0.7270
0.6667 0.3333 0.2730
0.0000 0.0000 0.0000
```

Output
Spin magnetization in μB per cell: 0.00
Formation energy in eV/atom: -1.1155